! Ac2LaBi | Alexandria | GGA-PBE | relaxed; values from VASP
&SYSTEM
  ibrav = 0, nat = 4, ntyp = 3
/
ATOMIC_SPECIES
Ac 227.00 Ac.upf
La 138.91 La.upf
Bi 208.98 Bi.upf
ATOMIC_POSITIONS angstrom
Ac -2.3944 -0.0803 1.1139
Ac 0.5652 2.1856 1.3725
La -0.9543 1.4685 -1.9455
Bi -2.7835 3.5739 0.5410
CELL_PARAMETERS angstrom
-1.9087 2.9370 -3.8910
-4.7888 -0.1606 2.2279
1.1305 4.3713 2.7451
! Space-group type: P4/mmm (123)
! Distance to the lowest polymorph of the same formula in meV per atom: 0
! Crystal system: tetragonal

! Rb3Pm2TlSe6 | Alexandria | GGA-PBE | relaxed; values from VASP
&SYSTEM
  ibrav = 0, nat = 12, ntyp = 4
/
ATOMIC_SPECIES
Se 78.96 Se.upf
Rb 85.47 Rb.upf
Pm 145.00 Pm.upf
Tl 204.38 Tl.upf
ATOMIC_POSITIONS angstrom
Se -0.0048 -0.0083 6.4445
Se 2.4854 -0.0002 1.6113
Se 2.5039 4.3355 1.6146
Se -1.2423 2.1526 1.6113
Se 0.0138 4.3274 6.4479
Se 3.7414 2.1746 6.4479
Rb -2.5020 4.3303 4.0296
Rb 5.0011 -0.0031 4.0296
Rb 1.2496 2.1636 4.0296
Pm 0.0023 4.3274 0.0002
Pm 3.7471 2.1646 0.0002
Tl 0.0000 0.0000 0.0000
CELL_PARAMETERS angstrom
7.4943 0.0005 0.0002
-3.7449 6.4916 0.0002
-1.2503 -2.1649 8.0586
! Space-group type: C2/m (12)
! Crystal system: monoclinic
! Uncorrected formation energy in eV per atom: -1.3164

! PmY2CdO | Alexandria | GGA-PBE | relaxed; values from VASP
&SYSTEM
  ibrav = 0, nat = 5, ntyp = 4
/
ATOMIC_SPECIES
Y 88.91 Y.upf
Pm 145.00 Pm.upf
Cd 112.41 Cd.upf
O 16.00 O.upf
ATOMIC_POSITIONS angstrom
Y 0.0000 2.4074 0.0000
Y 0.0000 0.0000 2.4074
Pm 2.4655 0.0000 0.0000
Cd 2.4655 2.4074 2.4074
O 0.0000 0.0000 0.0000
CELL_PARAMETERS angstrom
4.9309 0.0000 0.0000
0.0000 4.8148 0.0000
0.0000 0.0000 4.8148
! Space-group type: P4/mmm (123)
! Crystal system: tetragonal
! Uncorrected formation energy in eV per atom: -1.3153

! Sc5SnGe2 | Alexandria | GGA-PBE | relaxed; values from VASP
&SYSTEM
  ibrav = 0, nat = 16, ntyp = 3
/
ATOMIC_SPECIES
Sc 44.96 Sc.upf
Ge 72.64 Ge.upf
Sn 118.71 Sn.upf
ATOMIC_POSITIONS angstrom
Sc -1.3757 -7.5389 2.5695
Sc 1.8892 -2.8843 4.0325
Sc -2.0035 -4.7190 0.9292
Sc -0.9430 -1.9854 2.4910
Sc 1.2952 -4.9718 1.2304
Sc 2.3218 2.6692 3.9540
Sc -3.6140 -4.5526 3.8301
Sc 0.0000 0.0000 0.0000
Sc -0.3491 0.1020 5.2931
Sc 4.5601 -0.3172 2.6933
Ge -3.8703 -6.6190 1.8623
Ge -3.6615 -2.6331 1.8597
Ge -0.3455 -6.8049 -0.0012
Ge -0.1367 -2.8190 -0.0039
Sn -0.5287 -4.7944 3.7264
Sn 1.4748 -0.0754 2.7971
CELL_PARAMETERS angstrom
-6.1545 -2.5140 3.1774
2.1475 -6.9241 -1.3189
4.9532 4.5683 4.6650
! Space-group type: I4/mcm (140)
! Crystal system: tetragonal
! DFT total energy in eV per atom: -6.358